Below is a relaxed structure of SrTcGe2, with properties calculated at the GGA-PBE level.

The structure belongs to space group I4_1/amd (No. 141, origin choice 2); the cell edges are 5.359, 5.359 and 15.645 Å and the angles 90.00°, 90.00° and 90.00°. The inequivalent atoms are Sr at (0.000, 0.250, 0.375), Tc at (0.000, 0.250, 0.875) and Ge at (0.000, 0.000, 0.000).

Its distance to the lowest polymorph of the same formula is 122 meV per atom.

---

Below is a relaxed structure of SrTc2Ge2, with properties calculated at the GGA-PBE level.

The structure belongs to space group I4/mmm (No. 139); the cell edges are 4.173, 4.173 and 11.286 Å and the angles 90.00°, 90.00° and 90.00°. The inequivalent atoms are Sr at (0.000, 0.000, 0.000), Tc at (0.000, 0.500, 0.250) and Ge at (0.000, 0.000, 0.376).

Its distance to the lowest polymorph of the same formula is 74 meV per atom.

---

Below is a relaxed structure of SrTc3Ge, with properties calculated at the GGA-PBE level.

The structure belongs to space group Pm-3m (No. 221); the cell edges are 4.888, 4.888 and 4.888 Å and the angles 90.00°, 90.00° and 90.00°. The inequivalent atoms are Sr at (0.000, 0.000, 0.000), Tc at (0.000, 0.000, 0.500) and Ge at (0.500, 0.500, 0.500).

Its distance to the lowest polymorph of the same formula is 1913 meV per atom.

---

Below is a relaxed structure of SrTc2Ge7, with properties calculated at the GGA-PBE level.

The structure belongs to space group Cmmm (No. 65); the cell edges are 8.786, 10.559 and 4.840 Å and the angles 90.00°, 90.00° and 90.00°. The inequivalent atoms are Sr at (0.000, 0.000, 0.000), Tc at (0.000, 0.276, 0.500), Ge at (0.000, 0.308, 0.000), Ge at (0.000, 0.500, 0.500) and Ge at (0.222, 0.119, 0.500).

---

Number 1: calculated volume 28.1 A^3/atom, ΔE_f -10.8 kJ per mole of atoms. Number 2: calculated volume 19.7 A^3/atom, ΔE_f -24.0 kJ per mole of atoms. Number 3: calculated volume 23.4 A^3/atom, ΔE_f 279.4 kJ per mole of atoms. Number 4: calculated volume 22.5 A^3/atom, ΔE_f 3.6 kJ per mole of atoms.